# 1
The following is a DFT calculation (GGA-PBE) of HoSF after structural relaxation.

Geometry as POSCAR:
```
HoSF
1.0
-1.896 1.896 3.895
1.896 -1.896 3.895
1.896 1.896 -3.895
Ho S F
1 1 1
Cartesian
0.000 0.000 0.000
0.000 0.000 3.039
0.000 0.000 5.699
```

# 2
The following is a DFT calculation (GGA-PBE) of HoSbF after structural relaxation.

Geometry as POSCAR:
```
HoSbF
1.0
5.488 -1.917 0.000
5.488 1.917 0.000
-4.682 0.000 6.658
Ho Sb F
2 2 2
Cartesian
0.773 0.000 1.703
5.521 0.000 4.955
3.778 0.000 0.676
2.517 0.000 5.981
-0.362 0.000 3.772
6.656 0.000 2.886
```

Results
excess energy over the best structure of this formula in the dataset	0.000	eV/atom

# 3
The following is a DFT calculation (GGA-PBE) of HoSbF after structural relaxation.

Geometry as POSCAR:
```
HoSbF
1.0
3.924 0.000 0.000
-1.962 3.398 0.000
0.000 0.000 4.794
Ho Sb F
1 1 1
Cartesian
0.000 0.000 0.000
1.962 1.133 2.397
0.000 2.266 0.000
```

Results
excess energy over the best structure of this formula in the dataset	0.043	eV/atom

# 4
The following is a DFT calculation (GGA-PBE) of Ho3ScF after structural relaxation.

Geometry as POSCAR:
```
Ho3ScF
1.0
4.929 0.000 0.000
0.000 4.929 0.000
0.000 0.000 4.929
Ho Sc F
3 1 1
Cartesian
0.000 0.000 2.464
0.000 2.464 0.000
2.464 0.000 0.000
2.464 2.464 2.464
0.000 0.000 0.000
```

# 5
The following is a DFT calculation (GGA-PBE) of HoScF5 after structural relaxation.

Geometry as POSCAR:
```
HoScF5
1.0
4.597 -3.575 0.000
4.597 3.575 0.000
-3.006 0.000 6.855
Ho Sc F
2 2 10
Cartesian
2.343 3.332 5.141
3.846 -3.332 1.714
4.597 0.000 0.000
3.094 0.000 3.428
4.471 2.314 0.199
3.220 2.314 3.229
1.229 0.121 2.580
-0.274 -0.121 6.008
2.343 1.107 5.141
3.846 -1.107 1.714
6.463 0.121 0.847
4.960 -0.121 4.275
2.968 -2.314 3.626
1.717 -2.314 6.656
```

# 6
The following is a DFT calculation (GGA-PBE) of Ho4Se5F2 after structural relaxation.

Geometry as POSCAR:
```
Ho4Se5F2
1.0
8.662 -2.004 0.000
8.662 2.004 0.000
-1.854 0.000 7.652
Ho Se F
4 5 2
Cartesian
-0.180 0.000 1.985
3.564 0.000 6.025
11.906 0.000 1.627
15.650 0.000 5.667
0.856 0.000 7.206
2.198 0.000 3.307
7.735 0.000 3.826
13.272 0.000 4.345
14.614 0.000 0.446
6.204 0.000 6.452
9.267 0.000 1.200
```

# 7
The following is a DFT calculation (GGA-PBE) of Ho4Se5F after structural relaxation.

Geometry as POSCAR:
```
Ho4Se5F
1.0
7.531 -2.042 0.000
7.531 2.042 0.000
-3.394 0.000 10.277
Ho Se F
4 5 1
Cartesian
-1.030 0.000 3.356
2.132 0.000 9.459
9.537 0.000 0.818
12.699 0.000 6.921
-0.751 0.000 9.126
1.587 0.000 2.702
5.834 0.000 5.139
10.082 0.000 7.575
12.420 0.000 1.151
7.531 0.000 0.000
```

# 8
The following is a DFT calculation (GGA-PBE) of Ho2SeF after structural relaxation.

Geometry as POSCAR:
```
Ho2SeF
1.0
1.928 1.113 6.342
-1.928 1.113 6.342
0.000 -2.226 6.342
Ho Se F
2 1 1
Cartesian
0.000 0.000 4.585
0.000 0.000 14.442
0.000 0.000 0.000
0.000 0.000 9.513
```

# 9
The following is a DFT calculation (GGA-PBE) of Ho2Se2F3 after structural relaxation.

Geometry as POSCAR:
```
Ho2Se2F3
1.0
5.273 -1.854 0.000
5.273 1.854 0.000
-3.337 0.000 6.304
Ho Se F
2 2 3
Cartesian
0.952 0.000 1.463
6.256 0.000 4.841
-1.237 0.000 4.982
8.445 0.000 1.322
1.608 0.000 3.681
5.273 0.000 0.000
5.600 0.000 2.622
```

# 10
The following is a DFT calculation (GGA-PBE) of SrHoSe2F after structural relaxation.

Geometry as POSCAR:
```
SrHoSe2F
1.0
4.102 0.000 0.000
0.000 4.102 0.000
0.000 0.000 14.580
Sr Ho Se F
2 2 4 2
Cartesian
1.025 1.025 1.443
3.076 3.076 13.136
1.025 1.025 9.048
3.076 3.076 5.532
1.025 1.025 5.979
1.025 1.025 11.655
3.076 3.076 2.924
3.076 3.076 8.600
1.025 3.076 0.000
3.076 1.025 0.000
```

# 11
The following is a DFT calculation (GGA-PBE) of Sm3HoF after structural relaxation.

Geometry as POSCAR:
```
Sm3HoF
1.0
5.113 0.000 0.000
0.000 5.113 0.000
0.000 0.000 5.113
Sm Ho F
3 1 1
Cartesian
0.000 0.000 2.557
0.000 2.557 0.000
2.557 0.000 0.000
2.557 2.557 2.557
0.000 0.000 0.000
```

# 12
The following is a DFT calculation (GGA-PBE) of SmHoF after structural relaxation.

Geometry as POSCAR:
```
SmHoF
1.0
3.746 0.000 0.000
-1.873 3.245 0.000
0.000 0.000 5.646
Sm Ho F
1 1 1
Cartesian
0.000 0.000 0.000
1.873 1.082 2.780
0.000 2.163 4.128
```

The records above yield uncorrected formation energy values of -2.503; -2.125; -2.082; -0.901; -3.773; -2.245; -1.968; -1.827; -2.805; -2.480; -0.962; -1.538 eV per atom, respectively.
The records above yield electronic total energy values of -0.2215; -0.2076; -0.2060; -0.1943; -0.2450; -0.2144; -0.2105; -0.2004; -0.2172; -0.2021; -0.1868; -0.1933 Ha/atom, respectively.